# Tb3Sn2Hg (PBE-GGA, optimized geometry)
data_Tb3Sn2Hg
_symmetry_space_group_name_H-M 'P n m a'
_symmetry_Int_Tables_number 62
_cell_length_a 12.3601
_cell_length_b 4.6494
_cell_length_c 11.6509
_cell_angle_alpha 90.00
_cell_angle_beta 90.00
_cell_angle_gamma 90.00
loop_
_symmetry_equiv_pos_as_xyz
'x,y,z'
'-x,-y,-z'
'-x+1/2,-y,z+1/2'
'x+1/2,y,-z+1/2'
'x+1/2,-y+1/2,-z+1/2'
'-x+1/2,y+1/2,z+1/2'
'-x,y+1/2,-z'
'x,-y+1/2,z'
loop_
_atom_site_label
_atom_site_type_symbol
_atom_site_fract_x
_atom_site_fract_y
_atom_site_fract_z
Tb1 Tb 0.0383 0.2500 0.1233
Tb2 Tb 0.1356 0.7500 0.5727
Tb3 Tb 0.2033 0.2500 0.8146
Sn1 Sn 0.0080 0.7500 0.3234
Sn2 Sn 0.1827 0.7500 0.0293
Hg1 Hg 0.1501 0.2500 0.3516
# E above lowest polymorph = 0 meV/atom

---

Density functional theory data (PBE-GGA) for a relaxed LaIn15Sn4 crystal.

CIF file:
```
data_LaIn15Sn4
_symmetry_space_group_name_H-M 'P 4/m m m'
_symmetry_Int_Tables_number 123
_symmetry_space_group_name_Hall '-P 4 2'
_cell_length_a 4.9628
_cell_length_b 4.9628
_cell_length_c 22.3162
_cell_angle_alpha 90.00
_cell_angle_beta 90.00
_cell_angle_gamma 90.00
loop_
_atom_site_label
_atom_site_type_symbol
_atom_site_fract_x
_atom_site_fract_y
_atom_site_fract_z
La1 La 0.0000 0.0000 0.0000
In1 In 0.0000 0.5000 0.1033
In2 In 0.0000 0.5000 0.3015
In3 In 0.0000 0.5000 0.5000
In4 In 0.5000 0.5000 0.0000
In5 In 0.5000 0.5000 0.2047
In6 In 0.5000 0.5000 0.4003
Sn1 Sn 0.0000 0.0000 0.1928
Sn2 Sn 0.0000 0.0000 0.3983
```

---

# KLiBe2 (PBE-GGA, optimized geometry)
data_KLiBe2
_symmetry_space_group_name_H-M 'P 1'
_symmetry_Int_Tables_number 1
_cell_length_a 3.7822
_cell_length_b 4.2430
_cell_length_c 12.5448
_cell_angle_alpha 81.97
_cell_angle_beta 89.10
_cell_angle_gamma 63.86
loop_
_symmetry_equiv_pos_as_xyz
'x,y,z'
loop_
_atom_site_label
_atom_site_type_symbol
_atom_site_fract_x
_atom_site_fract_y
_atom_site_fract_z
K1 K 0.0000 0.0000 0.0000
K2 K 0.2281 0.5564 0.6698
Li1 Li 0.3400 0.3377 0.2022
Li2 Li 0.8817 0.2250 0.4677
Be1 Be 0.2260 0.5455 0.3823
Be2 Be 0.5200 0.9571 0.3878
Be3 Be 0.7017 0.6059 0.2822
Be4 Be 0.9952 0.0183 0.2877
# E above lowest polymorph = 66 meV/atom

---

For reference, formation energy from the elements by record: -0.596 -0.069 0.241 eV/atom.